Below is a relaxed structure of HfAl2Ni, with properties calculated at the GGA-PBE level.

Summary:
E ... -6.07 eV/atom
M_tot ... 0.001 μB/atom

Unit cell a=4.4465 b=4.4465 c=4.4465 alpha=60.00 beta=60.00 gamma=60.00
Positions (direct):
Hf (0.0000, 0.0000, 0.0000)
Al (0.2500, 0.2500, 0.2500)
Al (0.5000, 0.5000, 0.5000)
Ni (0.7500, 0.7500, 0.7500)